{"formula": "K2FeRe", "functional": "PBE", "state": "relaxed", "formation_energy_ev_per_fu": 5.766, "de_polymorph_kj_per_mol_atoms": 52.4, "energy_ev_per_cell": -17.34, "lattice": [[2.715, 0.000, 0.000], [0.000, 2.715, 0.000], [0.000, 0.000, 11.686]], "species": ["K", "K", "Fe", "Re"], "fractional_positions": [[0.000, 0.000, 0.246], [0.000, 0.000, 0.754], [0.500, 0.500, 0.500], [0.500, 0.500, 0.000]]}